# 1
The following is a GGA-PBE calculation of a geometry-optimized MgP3 structure, from Alexandria via LeMat-Bulk.

Lattice parameters (Å, degrees): 7.3196 7.3196 4.4107 90.00 90.00 120.00
Closest atoms and distances in Å follow each position.
Space group R-3m (No. 166, hexagonal axes)
Unique sites:
Mg  0.0000  0.0000  0.0000 (multiplicity 3)  6 P 2.57
P  0.0000  0.5000  0.0000 (multiplicity 9)  4 P 2.57, 2 Mg 2.57

Values from the calculation:
ρ = 2.85 g cm⁻³
Calculated formation energy = 0.09 eV/atom

=====

# 2
The following is a GGA-PBE calculation of a geometry-optimized Mg2P structure, from Alexandria via LeMat-Bulk.

Lattice parameters (Å, degrees): 3.9957 5.5212 11.7948 90.00 90.00 90.00
Closest atoms and distances in Å follow each position.
Space group Amm2 (No. 38)
Unique sites:
Mg  0.0000  0.0000  0.0000 (multiplicity 2)  4 P 2.65-2.83
Mg  0.0000  0.2461  0.2611 (multiplicity 4)  3 P 2.59-2.76, 2 Mg 2.72-2.80
Mg  0.5000  0.0000  0.5730 (multiplicity 2)  2 P 2.48
P  0.0000  0.0000  0.4483 (multiplicity 2)  4 Mg 2.48-2.59
P  0.5000  0.0000  0.1477 (multiplicity 2)  8 Mg 2.65-2.90

Values from the calculation:
ρ = 2.03 g cm⁻³
Calculated formation energy = -0.37 eV/atom

=====

# 3
The following is a GGA-PBE calculation of a geometry-optimized Mg2P structure, from Alexandria via LeMat-Bulk.

Lattice parameters (Å, degrees): 4.3149 4.3149 13.3649 90.00 90.00 90.00
Closest atoms and distances in Å follow each position.
Space group I4/mmm (No. 139)
Unique sites:
Mg  0.0000  0.5000  0.0000 (multiplicity 4)  4 P 2.86, 4 Mg 3.05
Mg  0.0000  0.5000  0.2500 (multiplicity 4)  4 P 2.60
P  0.0000  0.0000  0.1408 (multiplicity 4)  8 Mg 2.60-2.86

Values from the calculation:
ρ = 2.12 g cm⁻³
Calculated formation energy = -0.39 eV/atom

=====

# 4
The following is a GGA-PBE calculation of a geometry-optimized Mg2P structure, from Alexandria via LeMat-Bulk.

Lattice parameters (Å, degrees): 3.9860 5.1240 6.5211 69.77 85.82 86.91
Closest atoms and distances in Å follow each position.
Space group P-1 (No. 2)
Unique sites:
Mg  0.2099  0.2706  0.4372 (multiplicity 2)  3 P 2.64-2.71
Mg  0.2552  0.2748  0.9273 (multiplicity 2)  4 P 2.60-2.70
P  0.2678  0.8341  0.7977 (multiplicity 2)  7 Mg 2.60-2.71

Values from the calculation:
ρ = 2.12 g cm⁻³
Calculated formation energy = -0.45 eV/atom

=====

# 5
The following is a GGA-PBE calculation of a geometry-optimized Mg3P4 structure, from Alexandria via LeMat-Bulk.

Lattice parameters (Å, degrees): 3.3211 3.3211 22.6591 90.00 90.00 90.00
Closest atoms and distances in Å follow each position.
Space group I4/mmm (No. 139)
Unique sites:
Mg  0.0000  0.0000  0.0000 (multiplicity 2)  2 P 2.67
Mg  0.0000  0.0000  0.2970 (multiplicity 4)  5 P 2.72-3.04
P  0.0000  0.0000  0.1179 (multiplicity 4)  4 P 2.48, 1 Mg 2.67
P  0.0000  0.0000  0.4169 (multiplicity 4)  4 P 2.48, 1 Mg 2.72

Values from the calculation:
ρ = 2.62 g cm⁻³
Calculated formation energy = 0.04 eV/atom

=====

# 6
The following is a GGA-PBE calculation of a geometry-optimized Mg2P structure, from Alexandria via LeMat-Bulk.

Lattice parameters (Å, degrees): 4.7217 4.7217 5.7524 90.00 90.00 120.00
Closest atoms and distances in Å follow each position.
Space group P6_3/mmc (No. 194)
Unique sites:
Mg  0.0000  0.0000  0.0000 (multiplicity 2)  8 Mg 2.88-3.08, 6 P 3.08
Mg  0.3333  0.6667  0.2500 (multiplicity 2)  5 P 2.73-2.88
P  0.3333  0.6667  0.7500 (multiplicity 2)  5 Mg 2.73-2.88

Values from the calculation:
ρ = 2.38 g cm⁻³
Calculated formation energy = -0.22 eV/atom

=====

# 7
The following is a GGA-PBE calculation of a geometry-optimized MgP3 structure, from Alexandria via LeMat-Bulk.

Lattice parameters (Å, degrees): 6.3671 6.3671 6.3671 90.00 90.00 90.00
Closest atoms and distances in Å follow each position.
Space group Fm-3m (No. 225)
Unique sites:
Mg  0.0000  0.0000  0.0000 (multiplicity 4)  8 P 2.76
P  0.0000  0.0000  0.5000 (multiplicity 4)  8 P 2.76
P  0.2500  0.2500  0.2500 (multiplicity 8)  4 Mg 2.76, 4 P 2.76

Values from the calculation:
ρ = 3.02 g cm⁻³
Calculated formation energy = 0.41 eV/atom

=====

# 8
The following is a GGA-PBE calculation of a geometry-optimized Pu4MgPa3P8 structure, from Alexandria via LeMat-Bulk.

Lattice parameters (Å, degrees): 7.9535 7.9535 19.4349 90.00 90.00 120.00
Closest atoms and distances in Å follow each position.
Space group R-3m (No. 166, hexagonal axes)
Unique sites:
Pu  0.0000  0.0000  0.0000 (multiplicity 3)  6 P 2.83
Pu  0.0000  0.5000  0.0000 (multiplicity 9)  6 P 2.81-2.83
Mg  0.0000  0.0000  0.5000 (multiplicity 3)  6 P 2.79
Pa  0.0000  0.5000  0.5000 (multiplicity 9)  6 P 2.79-2.81
P  0.0000  0.0000  0.2498 (multiplicity 6)  3 Pa 2.81, 3 Pu 2.81
P  0.0001  0.5001  0.2481 (multiplicity 18)  1 Mg 2.79, 2 Pa 2.79, 3 Pu 2.83

Values from the calculation:
ρ = 9.08 g cm⁻³
Calculated formation energy = -1.13 eV/atom

=====

# 9
The following is a GGA-PBE calculation of a geometry-optimized MgPaP2Rh5 structure, from Alexandria via LeMat-Bulk.

Lattice parameters (Å, degrees): 4.0689 4.0689 8.4115 90.00 90.00 90.00
Closest atoms and distances in Å follow each position.
Space group P4/mmm (No. 123)
Unique sites:
Mg  0.0000  0.0000  0.0000 (multiplicity 1)  12 Rh 2.82-2.88
Pa  0.0000  0.0000  0.5000 (multiplicity 1)  8 Rh 3.03, 8 P 3.10
P  0.5000  0.5000  0.3635 (multiplicity 2)  1 P 2.30, 4 Rh 2.31
Rh  0.0000  0.5000  0.2330 (multiplicity 4)  2 P 2.31
Rh  0.5000  0.5000  0.0000 (multiplicity 1)  8 Rh 2.82, 4 Mg 2.88, 2 P 3.06

Values from the calculation:
ρ = 9.92 g cm⁻³
Calculated formation energy = -0.80 eV/atom

=====

# 10
The following is a GGA-PBE calculation of a geometry-optimized MgPa2P3Rh4 structure, from Alexandria via LeMat-Bulk.

Lattice parameters (Å, degrees): 3.9146 3.9146 10.9240 90.00 90.00 90.00
Closest atoms and distances in Å follow each position.
Space group P-4m2 (No. 115)
Unique sites:
Mg  0.0000  0.0000  0.0000 (multiplicity 1)  4 Rh 2.61, 4 P 2.77
Pa  0.0000  0.5000  0.7348 (multiplicity 2)  4 P 3.00, 8 Rh 3.00-3.23
P  0.0000  0.5000  0.3701 (multiplicity 2)  5 Rh 2.31-2.42
P  0.5000  0.5000  0.0000 (multiplicity 1)  4 Rh 2.61, 4 Mg 2.77
Rh  0.0000  0.0000  0.5000 (multiplicity 1)  4 P 2.42
Rh  0.0000  0.5000  0.1584 (multiplicity 2)  1 P 2.31
Rh  0.5000  0.5000  0.5000 (multiplicity 1)  4 P 2.42

Values from the calculation:
ρ = 9.83 g cm⁻³
Calculated formation energy = -0.93 eV/atom

=====

# 11
The following is a GGA-PBE calculation of a geometry-optimized Sr4MgPa3P8 structure, from Alexandria via LeMat-Bulk.

Lattice parameters (Å, degrees): 8.2486 8.2486 20.6785 90.00 90.00 120.00
Closest atoms and distances in Å follow each position.
Space group R-3m (No. 166, hexagonal axes)
Unique sites:
Sr  0.0000  0.0000  0.0000 (multiplicity 3)  6 P 3.06
Sr  0.0000  0.5000  0.0000 (multiplicity 9)  6 P 3.09-3.12
Mg  0.0000  0.0000  0.5000 (multiplicity 3)  6 P 2.84
Pa  0.0000  0.5000  0.5000 (multiplicity 9)  6 P 2.77-2.80
P  0.0000  0.0000  0.2383 (multiplicity 6)  3 Pa 2.80, 3 Sr 3.09
P  0.0078  0.5039  0.7626 (multiplicity 18)  2 Pa 2.77, 1 Mg 2.84, 1 Sr 3.06

Values from the calculation:
ρ = 5.38 g cm⁻³
Calculated formation energy = -1.12 eV/atom

=====

# 12
The following is a GGA-PBE calculation of a geometry-optimized Sr3MgPa2P6 structure, from Alexandria via LeMat-Bulk.

Lattice parameters (Å, degrees): 7.1460 12.3695 7.3189 90.00 108.91 90.00
Closest atoms and distances in Å follow each position.
Space group C2/m (No. 12)
Unique sites:
Sr  0.0000  0.0000  0.0000 (multiplicity 2)  6 P 3.04-3.13
Sr  0.0000  0.3367  0.0000 (multiplicity 4)  6 P 3.06-3.13
Mg  0.0000  0.5000  0.5000 (multiplicity 2)  6 P 2.87
Pa  0.0000  0.1674  0.5000 (multiplicity 4)  6 P 2.77-2.78
P  0.2271  0.0000  0.7141 (multiplicity 4)  2 Pa 2.78, 1 Mg 2.87, 3 Sr 3.04-3.10
P  0.2436  0.3279  0.7143 (multiplicity 8)  2 Pa 2.77, 1 Mg 2.87, 1 Sr 3.06

Values from the calculation:
ρ = 5.07 g cm⁻³
Calculated formation energy = -1.11 eV/atom

=====

# 13
The following is a GGA-PBE calculation of a geometry-optimized Mg4PPb structure, from Alexandria via LeMat-Bulk.

Lattice parameters (Å, degrees): 8.1616 8.1616 8.1616 90.00 90.00 90.00
Closest atoms and distances in Å follow each position.
Space group F-43m (No. 216)
Unique sites:
Mg  0.1246  0.1246  0.1246 (multiplicity 16)  6 Mg 2.88-2.90
P  0.2500  0.2500  0.7500 (multiplicity 4)  12 Mg 3.38, 4 Pb 3.53
Pb  0.0000  0.0000  0.5000 (multiplicity 4)  12 Mg 3.38, 4 P 3.53

Values from the calculation:
ρ = 4.10 g cm⁻³
Calculated formation energy = 0.20 eV/atom